[1]
DFT (PBEsol) results for crystalline AlPbW2 at its relaxed geometry.

- E_form: 0.591 eV per atom
- Space group: C2/m (12)
- Spin magnetization: 0.00 μB per cell

a = 3.2510 Å, b = 4.9016 Å, c = 4.8980 Å
α = 97.17°, β = 90.00°, γ = 109.37°
Closest atoms and distances in Å follow each position.
Fractional coordinates of all 4 atoms:
W1 0.2536 0.5072 0.3035  2 W 2.53, 1 Al 2.65
W2 0.7464 0.4928 0.6965  2 W 2.53, 1 Al 2.65
Al1 0.0000 0.0000 0.5000  6 W 2.65-2.86, 4 Pb 2.94
Pb1 0.5000 0.0000 0.0000  6 W 2.88-3.07, 4 Al 2.94

[2]
DFT (PBEsol) results for crystalline AlOsRu2 at its relaxed geometry.

- E_form: -0.067 eV per atom
- Space group: Imm2 (44)
- Spin magnetization: 0.00 μB per cell

a = 2.8740 Å, b = 4.3418 Å, c = 5.0444 Å
α = 115.49°, β = 106.55°, γ = 90.00°
Closest atoms and distances in Å follow each position.
Fractional coordinates of all 4 atoms:
Os1 0.2353 0.7353 0.4705  2 Al 2.50, 6 Ru 2.62-2.69
Ru1 0.9978 0.9978 0.9957  4 Al 2.60, 2 Os 2.69, 4 Ru 2.74-2.87
Ru2 0.7683 0.2683 0.5367  2 Al 2.45, 4 Os 2.62, 2 Ru 2.74
Al1 0.4986 0.4986 0.9971  6 Ru 2.45-2.60, 2 Os 2.50

no.,volume (Å³/cell)
1,73.0
2,53.9